5
Lattice="6.132 0.000 0.000 0.000 4.891 0.000 0.000 0.000 6.132" Properties=species:S:1:pos:R:3 comment="Ba2NbSiBr PBE optimized geometry" raw_formation_energy_kcal_per_mol_atoms=8.808 magmom_total_mub_per_fu=1.9 pbc="T T T"
Nb 0.000 2.445 0.000
Br 0.000 0.000 0.000
Ba 0.000 0.000 3.066
Ba 3.066 0.000 0.000
Si 3.066 2.445 3.066